A plane-wave DFT calculation with PBE-GGA was carried out for a relaxed structure of MoAs3Pb.

Calculated values
Its energy of formation is 1993 meV per atom. As for the total energy: -18.52 eV/cell.

```
data_MoAs3Pb
_cell_length_a 5.2024
_cell_length_b 5.2024
_cell_length_c 5.2024
_cell_angle_alpha 90.00
_cell_angle_beta 90.00
_cell_angle_gamma 90.00
_symmetry_space_group_name_H-M 'P m -3 m'
_symmetry_Int_Tables_number 221
_symmetry_space_group_name_Hall '-P 4 2 3'
loop_
_atom_site_label
_atom_site_type_symbol
_atom_site_fract_x
_atom_site_fract_y
_atom_site_fract_z
Mo1 Mo 0.0000 0.0000 0.0000
As1 As 0.0000 0.5000 0.5000
Pb1 Pb 0.5000 0.5000 0.5000
```

---

A plane-wave DFT calculation with PBE-GGA was carried out for a relaxed structure of MoAs2Pb.

Calculated values
Its energy of formation is -42 meV per atom. As for the total energy: -24.01 eV/cell.

```
data_MoAs2Pb
_cell_length_a 3.2432
_cell_length_b 3.2432
_cell_length_c 7.6462
_cell_angle_alpha 90.00
_cell_angle_beta 90.00
_cell_angle_gamma 90.00
_symmetry_space_group_name_H-M 'P 4/m m m'
_symmetry_Int_Tables_number 123
_symmetry_space_group_name_Hall '-P 4 2'
loop_
_atom_site_label
_atom_site_type_symbol
_atom_site_fract_x
_atom_site_fract_y
_atom_site_fract_z
Mo1 Mo 0.0000 0.0000 0.0000
As1 As 0.5000 0.5000 0.1869
Pb1 Pb 0.0000 0.0000 0.5000
```

---

Computed values of M_tot (unit: μB per cell) for the preceding records, in sequence: 0.00; 0.00.